(1)
Below is crystalline Fe2NiSe at its relaxed geometry, with properties calculated at the PBE level.

Values from the calculation:
E	-25.490	eV for the cell shown
space-group type	Imm2, No. 44
magnetization	5.6	μB per cell

a = 4.706 Å, b = 4.706 Å, c = 4.706 Å
α = 139.47°, β = 129.82°, γ = 66.39°
Last column: magnetic moment on the atom in μB.
Fractional coordinates of all 4 atoms:
Fe 0.744 0.244 0.500  2.55
Fe 0.011 0.011 0.000  2.65
Ni 0.484 0.484 0.000  0.43
Se 0.261 0.761 0.500  0.03

***

(2)
Below is crystalline Tb3Ce2Hg7 at its relaxed geometry, with properties calculated at the PBE level.

Values from the calculation:
E	-30.846	eV for the cell shown
space-group type	Cmmm, No. 65
magnetization	2.3	μB per cell
formation energy from the elements	-0.2479	eV per atom

a = 5.368 Å, b = 5.244 Å, c = 12.198 Å
α = 102.41°, β = 90.00°, γ = 90.00°
Last column: magnetic moment on the atom in μB.
Fractional coordinates of all 12 atoms:
Hg 0.500 0.922 0.843  0.00
Hg 0.000 0.722 0.444  0.01
Hg 0.000 0.427 0.854  0.00
Hg 0.000 0.278 0.556  0.01
Hg 0.500 0.078 0.157  0.00
Hg 0.000 0.000 0.000  0.00
Hg 0.000 0.573 0.146  0.00
Tb 0.500 0.500 0.000  -0.03
Tb 0.500 0.661 0.323  0.11
Tb 0.500 0.339 0.677  0.11
Ce 0.000 0.145 0.291  0.83
Ce 0.000 0.855 0.709  0.83

***

(3)
Below is crystalline TiZn2PtRh at its relaxed geometry, with properties calculated at the PBE level.

Values from the calculation:
E	-18.677	eV for the cell shown
space-group type	P4/mmm, No. 123
magnetization	0.0	μB per cell
formation energy from the elements	1.0316	eV per atom

a = 4.732 Å, b = 4.553 Å, c = 4.732 Å
α = 90.00°, β = 90.00°, γ = 90.00°
Fractional coordinates of all 5 atoms:
Zn 0.500 0.000 0.000
Zn 0.000 0.000 0.500
Rh 0.500 0.500 0.500
Ti 0.000 0.000 0.000
Pt 0.000 0.500 0.000

***

(4)
Below is crystalline Na2CoIr at its relaxed geometry, with properties calculated at the PBE level.

Values from the calculation:
E	-14.167	eV for the cell shown
space-group type	Fm-3m, No. 225
magnetization	2.4	μB per cell
relative energy among the computed polymorphs	135	meV/atom
formation energy from the elements	1.1095	eV per atom

a = 4.622 Å, b = 4.622 Å, c = 4.622 Å
α = 60.00°, β = 60.00°, γ = 60.00°
Last column: magnetic moment on the atom in μB.
Fractional coordinates of all 4 atoms:
Ir 0.500 0.500 0.500  0.54
Na 0.750 0.750 0.750  -0.01
Na 0.250 0.250 0.250  -0.01
Co 0.000 0.000 0.000  1.93

***

- Which formula does entry 2 have?
  Tb3Ce2Hg7

***

- Which of these has the lowest magnetization?
  TiZn2PtRh

***

- Number 4 is which compound?
  Na2CoIr

***

- Which of these has the highest magnetization?
  Fe2NiSe